4
Lattice="-3.5239 1.1759 -3.0245 -3.3328 -3.2364 -1.1689 -4.4826 0.4863 1.6181" Properties=species:S:1:pos:R:3 comment="YLuFePd (GGA-PBE, relaxed)" sg="F-43m, No. 216" pbc="T T T"
Lu -2.8348 -0.3936 -0.6438
Pd 0.0000 0.0000 0.0000
Y -8.5044 -1.1807 -1.9314
Fe -5.6696 -0.7871 -1.2876

5
Lattice="-1.5683 -3.8395 3.0994 0.4608 -3.3519 -3.9192 4.9128 -0.9113 1.3570" Properties=species:S:1:pos:R:3 comment="PmLu3Fe (GGA-PBE, relaxed)" sg="Pm-3m, No. 221" pbc="T T T"
Fe 0.0000 0.0000 0.0000
Pm 1.9026 -4.0514 0.2686
Lu 2.4564 -0.4557 0.6785
Lu 0.2304 -1.6760 -1.9596
Lu -0.7842 -1.9198 1.5497

5
Lattice="-4.5135 -1.4485 -2.4635 -0.9011 -3.6489 3.7964 -2.7120 3.6230 2.8386" Properties=species:S:1:pos:R:3 comment="Pm3LuFe (GGA-PBE, relaxed)" sg="Pm-3m, No. 221" pbc="T T T"
Pm -1.3560 1.8115 1.4193
Lu -4.0633 -0.7372 2.0857
Fe 0.0000 0.0000 0.0000
Pm -2.2568 -0.7242 -1.2317
Pm -0.4505 -1.8245 1.8982

4
Lattice="-4.5935 1.4134 -1.0537 -1.7700 -0.5832 -4.5536 -3.4722 -3.3740 -0.8764" Properties=species:S:1:pos:R:3 comment="PmLuZnFe (GGA-PBE, relaxed)" sg="F-43m, No. 216" pbc="T T T"
Pm -4.9178 -1.2719 -3.2418
Zn -2.4589 -0.6359 -1.6209
Lu 0.0000 0.0000 0.0000
Fe -7.3768 -1.9078 -4.8627

3
Lattice="3.3530 0.0000 0.0000 0.0000 3.3530 0.0000 -1.6765 -1.6765 6.4833" Properties=species:S:1:pos:R:3 comment="PrLuFe (GGA-PBE, relaxed)" sg="I4mm, No. 107" pbc="T T T"
Pr 0.0000 0.0000 3.8348
Fe 1.6765 1.6765 2.0748
Lu 0.0000 0.0000 0.5737

4
Lattice="-2.2572 -0.2374 2.6272 -3.3122 -0.8307 -0.6268 0.5970 -11.0038 1.8127" Properties=species:S:1:pos:R:3 comment="Pr2LuFe (GGA-PBE, relaxed)" sg="R-3m, No. 166" pbc="T T T"
Lu -2.4862 -6.0359 1.9066
Pr -5.0022 -3.5298 2.2653
Pr 0.0298 -8.5421 1.5478
Fe 0.0000 0.0000 0.0000

6
Lattice="4.9420 0.0000 0.0000 2.4710 4.2799 0.0000 2.4710 1.4266 4.0351" Properties=species:S:1:pos:R:3 comment="LuFe4Pt (GGA-PBE, relaxed)" sg="F-43m, No. 216" pbc="T T T"
Fe 4.9420 1.4268 2.5219
Pt 2.4710 1.4266 1.0088
Fe 6.1774 3.5665 2.5219
Fe 4.9420 2.8533 0.5046
Fe 3.7067 3.5665 2.5219
Lu 0.0000 0.0000 0.0000

4
Lattice="3.3654 0.0000 0.0000 0.0000 3.3654 0.0000 0.0000 0.0000 6.5333" Properties=species:S:1:pos:R:3 comment="Lu2FePt (GGA-PBE, relaxed)" sg="P4/mmm, No. 123" pbc="T T T"
Lu 0.0000 0.0000 4.9680
Pt 1.6827 1.6827 3.2666
Fe 1.6827 1.6827 0.0000
Lu 0.0000 0.0000 1.5653

4
Lattice="-2.3670 3.8390 -1.5461 -4.1089 -0.5237 -2.3610 -4.1111 1.2563 2.0620" Properties=species:S:1:pos:R:3 comment="TmLuFePt (GGA-PBE, relaxed)" sg="F-43m, No. 216" pbc="T T T"
Tm -7.9402 3.4287 -1.3838
Lu -2.6467 1.1429 -0.4613
Fe 0.0000 0.0000 0.0000
Pt -5.2935 2.2858 -0.9225

4
Lattice="-0.9202 2.9119 3.5030 -0.3187 -1.6188 4.3446 3.3040 1.0156 3.1064" Properties=species:S:1:pos:R:3 comment="LuPuFe2 (GGA-PBE, relaxed)" sg="Fm-3m, No. 225" pbc="T T T"
Fe 0.5163 0.5772 2.7385
Pu 0.0000 0.0000 0.0000
Lu 1.0325 1.1544 5.4770
Fe 1.5488 1.7316 8.2155

4
Lattice="3.2847 0.0000 0.0000 0.0000 3.2847 0.0000 0.0000 0.0000 6.6416" Properties=species:S:1:pos:R:3 comment="LuPuFe2 (GGA-PBE, relaxed)" sg="P4/mmm, No. 123" pbc="T T T"
Pu 1.6424 1.6424 0.0000
Fe 0.0000 0.0000 1.4772
Lu 1.6424 1.6424 3.3208
Fe 0.0000 0.0000 5.1644

3
Lattice="3.2922 0.0000 0.0000 0.0000 3.2922 0.0000 -1.6461 -1.6461 5.9823" Properties=species:S:1:pos:R:3 comment="LuPuFe (GGA-PBE, relaxed)" sg="I4mm, No. 107" pbc="T T T"
Fe 1.6461 1.6461 2.0712
Lu 0.0000 0.0000 0.3271
Pu 0.0000 0.0000 3.5840

Number 1: energy -26.00 eV/cell, DOS(E_F) 2.0 states/eV/f.u.. Number 2: energy -26.53 eV/cell, DOS(E_F) 7.3 states/eV/f.u.. Number 3: energy -26.21 eV/cell, DOS(E_F) 7.8 states/eV/f.u.. Number 4: energy -19.22 eV/cell, DOS(E_F) 4.0 states/eV/f.u.. Number 5: energy -17.41 eV/cell, DOS(E_F) 1.9 states/eV/f.u.. Number 6: energy -20.02 eV/cell, DOS(E_F) 6.5 states/eV/f.u.. Number 7: energy -45.90 eV/cell, DOS(E_F) 6.0 states/eV/f.u.. Number 8: energy -26.13 eV/cell, DOS(E_F) 1.2 states/eV/f.u.. Number 9: energy -25.85 eV/cell, DOS(E_F) 6.3 states/eV/f.u.. Number 10: energy -35.73 eV/cell, DOS(E_F) 5.2 states/eV/f.u.. Number 11: energy -35.80 eV/cell, DOS(E_F) 6.8 states/eV/f.u.. Number 12: energy -27.15 eV/cell, DOS(E_F) 7.0 states/eV/f.u..